No. 1
Here is PrPaC2N6 after structural relaxation from the Alexandria database. Energies are from PBE.

Cell and atoms, written as extended XYZ:
```
20
Lattice="6.299 -0.401 -0.190 -1.169 6.203 -0.190 -1.685 -1.906 6.360" Properties=species:S:1:pos:R:3 pbc="T T T"
Pr 0.038 4.286 1.400
Pr 3.407 -0.390 4.580
Pa 2.897 1.758 1.400
Pa 0.548 2.138 4.580
C 0.496 -0.906 4.392
C 3.562 2.561 4.768
C 2.948 4.801 1.587
C -0.117 1.335 1.212
N 5.040 1.618 0.726
N 3.298 -0.352 2.073
N -1.596 2.278 5.254
N 0.146 4.248 3.906
N 0.380 0.248 0.547
N 4.087 4.441 2.253
N 3.065 3.647 5.433
N -0.642 -0.546 3.727
N 0.709 1.831 2.196
N 2.557 3.921 0.603
N 2.736 2.065 3.783
N 0.888 -0.025 5.377
```

space group = C2/c, No. 15
ΔE_f (raw) = -15.48 kcal/mol of atoms
calculated volume = 12.0 Å³/atom

---

No. 2
Here is PrPa3C4N12 after structural relaxation from the Alexandria database. Energies are from PBE.

Cell and atoms, written as extended XYZ:
```
20
Lattice="-3.681 5.415 -0.086 -4.564 -4.679 -0.394 1.663 -0.339 6.324" Properties=species:S:1:pos:R:3 pbc="T T T"
Pr 0.000 0.000 0.000
Pa -4.093 0.706 -0.230
Pa -0.830 2.346 3.334
Pa -1.659 -2.654 2.740
C -2.882 4.868 3.064
C -0.818 -2.463 5.887
C -6.172 -1.809 -0.186
C -3.291 0.199 2.922
N -2.456 0.781 3.823
N -5.440 2.512 0.345
N -3.646 -3.860 2.798
N -0.787 1.944 5.623
N -5.542 -2.587 0.716
N -0.755 -1.122 6.007
N -3.783 4.318 2.227
N -6.001 -0.473 -0.224
N -1.569 -3.064 4.943
N -2.095 4.120 3.862
N -4.007 0.970 2.062
N -3.409 -1.155 2.881
```

DOS at the Fermi energy = 11.2 states/eV/cell
space group = R32, No. 155
ΔE_f (raw) = -14.56 kcal/mol of atoms
calculated volume = 13.1 Å³/atom

---

No. 3
Here is RbPa3C4N12 after structural relaxation from the Alexandria database. Energies are from PBE.

Cell and atoms, written as extended XYZ:
```
20
Lattice="6.666 0.244 0.340 -1.369 6.529 0.340 -1.369 -1.750 6.299" Properties=species:S:1:pos:R:3 pbc="T T T"
Rb 0.000 0.000 0.000
Pa 2.956 3.146 0.340
Pa 2.341 -0.829 3.547
Pa -1.369 2.706 3.091
C 5.741 -0.443 3.489
C -1.813 1.574 6.290
C 1.964 6.403 0.688
C 1.964 2.511 3.489
N 1.964 1.411 4.281
N 5.153 3.303 1.124
N -1.225 5.006 3.489
N 1.964 -0.775 5.854
N 2.622 -0.172 1.480
N 0.783 2.896 0.307
N -0.799 0.609 2.843
N 1.306 3.565 6.671
N 4.727 2.519 5.498
N 3.145 5.651 4.134
N 3.032 2.776 2.697
N 0.897 3.346 3.489
```

DOS at the Fermi energy = 5.7 states/eV/cell
space group = R32, No. 155
ΔE_f (raw) = -8.51 kcal/mol of atoms
calculated volume = 14.2 Å³/atom

---

Respective spin magnetization values: 0.00 0.00 0.11 μB per atom.